## HoWIO4 (PBE with a Hubbard U)

Data for a relaxed structure of HoWIO4.

The value obtained for the total magnetization is 0.000 μB per atom. Its electronic total energy is -6.98 eV/atom.

The space group is C2/m (No. 12) and the conventional cell measures 10.9337, 7.2287 and 7.1518 Å, with angles of 90.00, 107.13 and 90.00 degrees. The inequivalent atoms are Ho at (0.2439, 0.0000, 0.1370), W at (0.1329, 0.5000, 0.2622), I at (0.0165, 0.0000, 0.7529), O at (0.0408, 0.5000, 0.8108), O at (0.1928, 0.5000, 0.5260) and O at (0.1962, 0.3059, 0.1536).